Density functional theory data (GGA-PBE) for a geometry-optimized CaGeH structure.

It has space group R3m (No. 160, hexagonal axes), with a = 3.9297 Å, b = 3.9297 Å, c = 24.8073 Å, α = 90.00°, β = 90.00° and γ = 120.00°. Symmetry generates all atoms from Ca at (0.0000, 0.0000, 0.0000), Ca at (0.0000, 0.0000, 0.4569), Ge at (0.0000, 0.0000, 0.2494), Ge at (0.0000, 0.0000, 0.8715), H at (0.0000, 0.0000, 0.0937) and H at (0.0000, 0.0000, 0.6997).

As for the energy relative to the lowest polymorph listed for this composition: 0.056 eV per atom.